DFT (PBE-GGA) results for a geometry-optimized CeCuPt structure.

Calculated values
Calculated density (Mg/m³): 11.099
Final energy (eV/atom): -6.0537
Formation energy from the elements (meV per atom): -697
DOS at the Fermi energy (states/eV per atom): 1.7127
Energy relative to the lowest polymorph listed for this composition (eV/atom): 0.0118

```
data_CeCuPt
_space_group_name_H-M_alt 'P -6 2 m'
_space_group_IT_number 189
_space_group_name_Hall 'P -6 -2'
_cell_length_a 7.2147
_cell_length_b 7.2147
_cell_length_c 3.9701
_cell_angle_alpha 90.00
_cell_angle_beta 90.00
_cell_angle_gamma 120.00
loop_
_atom_site_label
_atom_site_type_symbol
_atom_site_fract_x
_atom_site_fract_y
_atom_site_fract_z
_atom_site_occupancy
Ce1 Ce 0.0000 0.5969 0.0000 1
Cu1 Cu 0.0000 0.2394 0.5000 1
Pt1 Pt 0.0000 0.0000 0.0000 1
Pt2 Pt 0.3333 0.6667 0.5000 1
```

---

DFT (PBE-GGA) results for a geometry-optimized CaCePmNd structure.

Calculated values
Calculated density (Mg/m³): 5.489
Final energy (eV/atom): -4.1304
Formation energy from the elements (meV per atom): 233
DOS at the Fermi energy (states/eV per atom): 2.9597

```
data_CaCePmNd
_space_group_name_H-M_alt 'F -4 3 m'
_space_group_IT_number 216
_space_group_name_Hall 'F -4 2 3'
_cell_length_a 8.282
_cell_length_b 8.282
_cell_length_c 8.282
_cell_angle_alpha 90.00
_cell_angle_beta 90.00
_cell_angle_gamma 90.00
loop_
_atom_site_label
_atom_site_type_symbol
_atom_site_fract_x
_atom_site_fract_y
_atom_site_fract_z
_atom_site_occupancy
Ca1 Ca 0.000 0.000 0.000 1
Ce1 Ce 0.000 0.000 0.500 1
Pm1 Pm 0.250 0.250 0.750 1
Nd1 Nd 0.250 0.250 0.250 1
```

---

DFT (PBE-GGA) results for a geometry-optimized BaNd3Fe structure.

Calculated values
Calculated density (Mg/m³): 5.929
Final energy (eV/atom): -4.7511
Formation energy from the elements (meV per atom): 187
DOS at the Fermi energy (states/eV per atom): 1.2831

```
data_BaNd3Fe
_space_group_name_H-M_alt 'P m -3 m'
_space_group_IT_number 221
_space_group_name_Hall '-P 4 2 3'
_cell_length_a 5.597
_cell_length_b 5.597
_cell_length_c 5.597
_cell_angle_alpha 90.00
_cell_angle_beta 90.00
_cell_angle_gamma 90.00
loop_
_atom_site_label
_atom_site_type_symbol
_atom_site_fract_x
_atom_site_fract_y
_atom_site_fract_z
_atom_site_occupancy
Ba1 Ba 0.000 0.000 0.000 1
Nd1 Nd 0.000 0.500 0.500 1
Fe1 Fe 0.500 0.500 0.500 1
```

---

DFT (PBE-GGA) results for a geometry-optimized CdSiMo2 structure.

Calculated values
Calculated density (Mg/m³): 7.743
Final energy (eV/atom): -6.3619
Raw formation energy (meV per atom): 638
DOS at the Fermi energy (states/eV per atom): 0.8350
Energy relative to the lowest polymorph listed for this composition (eV/atom): 0.5046

```
data_CdSiMo2
_space_group_name_H-M_alt 'I -4 2 d'
_space_group_IT_number 122
_space_group_name_Hall 'I -4 2bw'
_cell_length_a 3.831
_cell_length_b 3.831
_cell_length_c 19.429
_cell_angle_alpha 90.00
_cell_angle_beta 90.00
_cell_angle_gamma 90.00
loop_
_atom_site_label
_atom_site_type_symbol
_atom_site_fract_x
_atom_site_fract_y
_atom_site_fract_z
_atom_site_occupancy
Cd1 Cd 0.000 0.000 0.000 1
Si1 Si 0.000 0.000 0.500 1
Mo1 Mo 0.209 0.250 0.625 1
```

---

DFT (PBE-GGA) results for a geometry-optimized K2CaRhO4 structure.

Calculated values
Calculated density (Mg/m³): 4.085
Final energy (eV/atom): -5.4621
Raw formation energy (meV per atom): -1540
DOS at the Fermi energy (states/eV per atom): 0.5265

```
data_K2CaRhO4
_space_group_name_H-M_alt 'P 1 2/m 1'
_space_group_IT_number 10
_space_group_name_Hall '-P 2y'
_cell_length_a 5.737
_cell_length_b 3.335
_cell_length_c 6.365
_cell_angle_alpha 90.00
_cell_angle_beta 107.84
_cell_angle_gamma 90.00
loop_
_atom_site_label
_atom_site_type_symbol
_atom_site_fract_x
_atom_site_fract_y
_atom_site_fract_z
_atom_site_occupancy
K1 K 0.000 0.000 0.000 1
K2 K 0.500 0.500 0.000 1
Ca1 Ca 0.000 0.500 0.500 1
Rh1 Rh 0.500 0.000 0.500 1
O1 O 0.262 0.000 0.687 1
O2 O 0.306 0.500 0.324 1
```

---

DFT (PBE-GGA) results for a geometry-optimized KBa2Se structure.

Calculated values
Calculated density (Mg/m³): 3.772
Final energy (eV/atom): -2.6063
Raw formation energy (meV per atom): -499
DOS at the Fermi energy (states/eV per atom): 0.7048

```
data_KBa2Se
_space_group_name_H-M_alt 'I -4 m 2'
_space_group_IT_number 119
_space_group_name_Hall 'I -4 -2'
_cell_length_a 5.055
_cell_length_b 5.055
_cell_length_c 13.533
_cell_angle_alpha 90.00
_cell_angle_beta 90.00
_cell_angle_gamma 90.00
loop_
_atom_site_label
_atom_site_type_symbol
_atom_site_fract_x
_atom_site_fract_y
_atom_site_fract_z
_atom_site_occupancy
K1 K 0.000 0.000 0.000 1
Ba1 Ba 0.000 0.000 0.500 1
Ba2 Ba 0.000 0.500 0.250 1
Se1 Se 0.000 0.500 0.750 1
```

---

Please write out number 3 again, unchanged.
DFT (PBE-GGA) results for a geometry-optimized BaNd3Fe structure.

Calculated values
Calculated density (Mg/m³): 5.929
Final energy (eV/atom): -4.7511
Formation energy from the elements (meV per atom): 187
DOS at the Fermi energy (states/eV per atom): 1.2831

```
data_BaNd3Fe
_space_group_name_H-M_alt 'P m -3 m'
_space_group_IT_number 221
_space_group_name_Hall '-P 4 2 3'
_cell_length_a 5.597
_cell_length_b 5.597
_cell_length_c 5.597
_cell_angle_alpha 90.00
_cell_angle_beta 90.00
_cell_angle_gamma 90.00
loop_
_atom_site_label
_atom_site_type_symbol
_atom_site_fract_x
_atom_site_fract_y
_atom_site_fract_z
_atom_site_occupancy
Ba1 Ba 0.000 0.000 0.000 1
Nd1 Nd 0.000 0.500 0.500 1
Fe1 Fe 0.500 0.500 0.500 1
```